The following is a SCAN calculation of a PBEsol-optimized structure of La3Pt, from Alexandria.

## Properties
energy of formation from the pure elements = -0.783 eV per atom
VASP energy = -50.660 eV per atom

Lattice parameters (Å, degrees): 6.595 7.230 10.109 90.00 90.00 90.00
Sites, in units of the cell vectors:
La 0.668 0.827 0.940
La 0.832 0.327 0.560
La 0.332 0.173 0.440
La 0.357 0.476 0.750
La 0.143 0.976 0.750
La 0.168 0.673 0.060
La 0.168 0.673 0.440
La 0.643 0.524 0.250
La 0.332 0.173 0.060
La 0.832 0.327 0.940
La 0.857 0.024 0.250
La 0.668 0.827 0.560
Pt 0.424 0.877 0.250
Pt 0.076 0.377 0.250
Pt 0.924 0.623 0.750
Pt 0.576 0.123 0.750



The following is a SCAN calculation of a PBEsol-optimized structure of La5Pt3, from Alexandria.

## Properties
energy of formation from the pure elements = -1.040 eV per atom
VASP energy = -54.303 eV per atom

Lattice parameters (Å, degrees): 6.361 8.669 8.669 82.26 68.48 68.48
Sites, in units of the cell vectors:
La 0.712 0.703 0.874
La 0.788 0.126 0.297
La 0.414 0.874 0.297
La 0.914 0.297 0.874
La 0.250 0.500 0.500
La 0.288 0.297 0.126
La 0.086 0.703 0.126
La 0.586 0.126 0.703
La 0.750 0.500 0.500
La 0.212 0.874 0.703
Pt 0.843 0.815 0.500
Pt 0.657 0.500 0.185
Pt 0.750 0.000 0.000
Pt 0.343 0.500 0.815
Pt 0.157 0.185 0.500
Pt 0.250 0.000 0.000



The following is a SCAN calculation of a PBEsol-optimized structure of LaPt, from Alexandria.

## Properties
energy of formation from the pure elements = -1.290 eV per atom
VASP energy = -57.939 eV per atom

Lattice parameters (Å, degrees): 3.922 5.781 7.607 110.34 90.00 109.83
Sites, in units of the cell vectors:
Pt 0.052 0.104 0.402
Pt 0.207 0.414 0.019
Pt 0.309 0.617 0.691
La 0.759 0.519 0.356
La 0.926 0.852 0.998
La 0.580 0.160 0.700



The following is a SCAN calculation of a PBEsol-optimized structure of La2Pt, from Alexandria.

## Properties
energy of formation from the pure elements = -0.901 eV per atom
VASP energy = -53.036 eV per atom

Lattice parameters (Å, degrees): 6.009 6.009 6.009 107.48 107.48 113.53
Sites, in units of the cell vectors:
La 0.819 0.319 0.137
La 0.319 0.181 0.500
La 0.681 0.819 0.500
La 0.181 0.681 0.863
Pt 0.750 0.750 0.000
Pt 0.250 0.250 0.000



The following is a SCAN calculation of a PBEsol-optimized structure of La2Pt, from Alexandria.

## Properties
energy of formation from the pure elements = -0.953 eV per atom
VASP energy = -53.088 eV per atom

Lattice parameters (Å, degrees): 4.703 7.741 7.741 120.00 90.00 90.00
Sites, in units of the cell vectors:
La 0.500 0.408 0.408
La 0.500 0.592 0.000
La 0.000 0.263 0.000
La 0.500 0.000 0.592
La 0.000 0.000 0.263
La 0.000 0.737 0.737
Pt 0.000 0.333 0.667
Pt 0.500 0.000 0.000
Pt 0.000 0.667 0.333



The following is a SCAN calculation of a PBEsol-optimized structure of LaPt2, from Alexandria.

## Properties
energy of formation from the pure elements = -0.060 eV per atom
VASP energy = -61.224 eV per atom

Lattice parameters (Å, degrees): 2.945 2.945 7.420 90.00 90.00 120.00
Sites, in units of the cell vectors:
La 0.000 0.000 0.000
Pt 0.333 0.667 0.656
Pt 0.667 0.333 0.344



The following is a SCAN calculation of a PBEsol-optimized structure of LaPt2, from Alexandria.

## Properties
energy of formation from the pure elements = -1.177 eV per atom
VASP energy = -62.341 eV per atom

Lattice parameters (Å, degrees): 3.904 4.438 4.438 120.00 90.00 90.00
Each line ends with the local moment (μB).
Sites, in units of the cell vectors:
Pt 0.000 0.333 0.667  0.05
Pt 0.000 0.667 0.333  0.05
La 0.500 0.000 0.000  0.00



The following is a SCAN calculation of a PBEsol-optimized structure of LaPt, from Alexandria.

## Properties
energy of formation from the pure elements = -1.385 eV per atom
VASP energy = -58.034 eV per atom

Lattice parameters (Å, degrees): 3.936 4.497 5.825 90.00 109.75 90.00
Sites, in units of the cell vectors:
La 0.135 0.250 0.271
La 0.865 0.750 0.729
Pt 0.409 0.250 0.819
Pt 0.591 0.750 0.181



The following is a SCAN calculation of a PBEsol-optimized structure of LaPt2, from Alexandria.

## Properties
energy of formation from the pure elements = -1.161 eV per atom
VASP energy = -62.325 eV per atom

Lattice parameters (Å, degrees): 4.250 5.896 5.896 77.41 68.87 68.87
Sites, in units of the cell vectors:
Pt 0.656 0.884 0.804
Pt 0.656 0.304 0.384
Pt 0.344 0.696 0.616
Pt 0.344 0.116 0.196
La 0.044 0.706 0.206
La 0.956 0.294 0.794



The following is a SCAN calculation of a PBEsol-optimized structure of LaPt2, from Alexandria.

## Properties
energy of formation from the pure elements = -1.183 eV per atom
VASP energy = -62.347 eV per atom

Lattice parameters (Å, degrees): 4.027 4.027 8.774 103.27 103.27 90.00
Sites, in units of the cell vectors:
Pt 0.672 0.172 0.345
Pt 0.422 0.422 0.845
Pt 0.578 0.578 0.155
Pt 0.828 0.328 0.655
La 0.000 0.000 0.000
La 0.250 0.750 0.500



The following is a SCAN calculation of a PBEsol-optimized structure of LaRePt2, from Alexandria.

## Properties
energy of formation from the pure elements = -0.216 eV per atom
VASP energy = -63.863 eV per atom

Lattice parameters (Å, degrees): 2.848 2.848 8.633 90.00 90.00 90.00
Sites, in units of the cell vectors:
Pt 0.000 0.000 0.789
Pt 0.000 0.000 0.211
Re 0.500 0.500 0.000
La 0.500 0.500 0.500



The following is a SCAN calculation of a PBEsol-optimized structure of LaRePt2, from Alexandria.

## Properties
energy of formation from the pure elements = -0.158 eV per atom
VASP energy = -63.805 eV per atom

Lattice parameters (Å, degrees): 2.896 4.955 5.484 100.01 90.00 106.99
Sites, in units of the cell vectors:
Re 0.509 0.018 0.579
Pt 0.245 0.490 0.712
Pt 0.991 0.982 0.973
La 0.755 0.510 0.236